DFT (PBE with a Hubbard U) results for a geometry-optimized PmZnCrO4 structure. Values from VASP.

Calculated values
Raw total energy: -96.84 eV per cell
Density of states at the Fermi level: 0.00 states/eV per cell
Space-group type: Imma

Cell and atoms, written as Quantum ESPRESSO input:
```
&SYSTEM
  ibrav = 0, nat = 14, ntyp = 4
/
ATOMIC_SPECIES
Pm 145.00 Pm.upf
Cr 52.00 Cr.upf
Zn 65.41 Zn.upf
O 16.00 O.upf
CELL_PARAMETERS angstrom
6.2514 0.0000 0.0000
3.1257 5.6076 -0.0890
3.1257 1.6235 5.3682
ATOMIC_POSITIONS angstrom
Pm 0.0000 0.0000 0.0000
Pm 3.1257 3.6156 2.6396
Cr 1.5628 0.8118 2.6841
Cr 4.6885 0.8118 2.6841
Zn 6.2514 3.4080 4.5795
Zn 6.2514 3.8232 0.6997
O 7.8279 2.4725 3.8965
O 4.6748 4.7586 1.3826
O 6.2514 1.7144 1.5837
O 6.2514 5.5168 3.6955
O 4.6748 2.4725 3.8965
O 9.3770 5.6463 3.7900
O 7.8279 4.7586 1.3826
O 3.1257 1.5849 1.4891
```